Here is an optimized crystal structure of LiTl2Pd2 from Alexandria. Energies are from PBE-GGA.

The structure belongs to space group P4/mbm (No. 127); the cell edges are 7.1449, 7.1449 and 3.8573 Å and the angles 90.00°, 90.00° and 90.00°. The distinct sites, in fractional coordinates, are Li at (0.0000, 0.0000, 0.0000), Tl at (0.1648, 0.3352, 0.5000) and Pd at (0.1398, 0.6398, 0.0000).

As for the electronic total energy: -36.4 eV for the cell shown. The value obtained for the polymorph energy (0 for the lowest one) is 33 meV per atom. The volume is 19.69 Å³ per atom. The density of states at the Fermi level comes out at 0.347 states/eV/atom.

Here is an optimized crystal structure of CuP2S2 from Alexandria. Energies are from PBE-GGA.

The structure belongs to space group P4/mmm (No. 123); the cell edges are 4.5241, 4.5241 and 4.4867 Å and the angles 90.00°, 90.00° and 90.00°. The distinct sites, in fractional coordinates, are Cu at (0.0000, 0.0000, 0.0000), P at (0.0000, 0.5000, 0.5000), S at (0.5000, 0.5000, 0.0000) and S at (0.5000, 0.5000, 0.5000).

Its uncorrected formation energy is 106.3 kJ per mole of atoms. As for the electronic total energy: -17.7 eV for the cell shown. The value obtained for the polymorph energy (0 for the lowest one) is 259 meV per atom. The volume is 18.37 Å³ per atom. The density of states at the Fermi level comes out at 0.948 states/eV/atom.

Here is an optimized crystal structure of InReRu2 from Alexandria. Energies are from PBE-GGA.

The structure belongs to space group P4/mmm (No. 123); the cell edges are 2.8861, 2.8861 and 7.5263 Å and the angles 90.00°, 90.00° and 90.00°. The distinct sites, in fractional coordinates, are In at (0.0000, 0.0000, 0.0000), Re at (0.0000, 0.0000, 0.5000) and Ru at (0.5000, 0.5000, 0.2717).

As for the electronic total energy: -33.6 eV for the cell shown. The volume is 15.67 Å³ per atom. The density of states at the Fermi level comes out at 0.695 states/eV/atom.